Entry 1:
# RbBa2RuO6

A relaxed structure of RbBa2RuO6 (PBE-GGA, Alexandria via LeMat-Bulk).

Its total energy is -0.223 hartree per atom.

The structure belongs to space group P2_1/c (No. 14); the cell edges are 6.098, 6.591 and 10.656 Å and the angles 90.00°, 124.20° and 90.00°. The distinct sites, in fractional coordinates, are Rb at (0.000, 0.000, 0.000), Ba at (0.225, 0.058, 0.742), Ru at (0.500, 0.000, 0.500), O at (0.200, 0.154, 0.462), O at (0.283, 0.741, 0.925) and O at (0.405, 0.061, 0.299).

Entry 2:
# RbBaRu2O8

A relaxed structure of RbBaRu2O8 (PBE-GGA, Alexandria via LeMat-Bulk).

Its total energy is -0.235 hartree per atom.

The structure belongs to space group C2/m (No. 12); the cell edges are 11.465, 6.606 and 6.669 Å and the angles 90.00°, 109.57° and 90.00°. The distinct sites, in fractional coordinates, are Rb at (0.000, 0.000, 0.000), Ba at (0.000, 0.500, 0.500), Ru at (0.206, 0.500, 0.197), O at (0.131, 0.000, 0.693), O at (0.139, 0.294, 0.293) and O at (0.153, 0.500, 0.914).

Entry 3:
# RbBaRuO4

A relaxed structure of RbBaRuO4 (PBE-GGA, Alexandria via LeMat-Bulk).

Its total energy is -0.225 hartree per atom.

The structure belongs to space group P2_1/m (No. 11); the cell edges are 6.686, 6.012 and 7.821 Å and the angles 90.00°, 103.47° and 90.00°. The distinct sites, in fractional coordinates, are Rb at (0.248, 0.250, 0.047), Ba at (0.211, 0.250, 0.545), Ru at (0.261, 0.750, 0.317), O at (0.047, 0.534, 0.285), O at (0.390, 0.750, 0.548) and O at (0.418, 0.750, 0.160).

Entry 4:
# RbBaS2O6

A relaxed structure of RbBaS2O6 (PBE-GGA, Alexandria via LeMat-Bulk).

Its total energy is -0.216 hartree per atom.

The structure belongs to space group C2/c (No. 15); the cell edges are 8.646, 11.619 and 8.607 Å and the angles 90.00°, 113.30° and 90.00°. The distinct sites, in fractional coordinates, are Rb at (0.000, 0.108, 0.250), Ba at (0.000, 0.298, 0.750), S at (0.177, 0.393, 0.247), O at (0.152, 0.131, 0.613), O at (0.166, 0.316, 0.099) and O at (0.169, 0.482, 0.698).

Entry 5:
# RbBaS2O8

A relaxed structure of RbBaS2O8 (PBE-GGA, Alexandria via LeMat-Bulk).

Its total energy is -0.221 hartree per atom.

The structure belongs to space group P-3 (No. 147); the cell edges are 5.6547, 5.6547 and 8.8541 Å and the angles 90.00°, 90.00° and 120.00°. The distinct sites, in fractional coordinates, are Rb at (0.0000, 0.0000, 0.0000), Ba at (0.0000, 0.0000, 0.5000), S at (0.3333, 0.6667, 0.7610), O at (0.1233, 0.3923, 0.7050) and O at (0.3333, 0.6667, 0.9285).

Entry 6:
# Rb2BaSb2O6

A relaxed structure of Rb2BaSb2O6 (PBE-GGA, Alexandria via LeMat-Bulk).

Its total energy is -0.200 hartree per atom.

The structure belongs to space group C2/m (No. 12); the cell edges are 11.453, 6.808 and 7.905 Å and the angles 90.00°, 123.07° and 90.00°. The distinct sites, in fractional coordinates, are Rb at (0.205, 0.000, 0.176), Ba at (0.000, 0.000, 0.500), Sb at (0.035, 0.500, 0.205), O at (0.054, 0.270, 0.781) and O at (0.231, 0.500, 0.395).